DFT (PBE) results for a relaxed BaLaSi2 crystal.

Geometry as POSCAR:
```
BaLaSi2
1.0
0.0000 3.7726 3.7726
3.7726 0.0000 3.7726
3.7726 3.7726 0.0000
Ba La Si
1 1 2
direct
0.0000 0.0000 0.0000
0.2500 0.2500 0.2500
0.5000 0.5000 0.5000
0.7500 0.7500 0.7500
```

Properties
Energy relative to the lowest polymorph listed for this composition (eV per atom): 0.874
Energy relative to the elements, uncorrected (eV per atom): 0.276
Electronic total energy (eV per atom): -4.1476
Symmetry: F-43m, No. 216